# CsRb2SiF6 (PBE, optimized geometry)
data_CsRb2SiF6
_cell_length_a 6.851
_cell_length_b 6.851
_cell_length_c 6.851
_cell_angle_alpha 60.00
_cell_angle_beta 60.00
_cell_angle_gamma 60.00
_symmetry_space_group_name_H-M 'P 1'
_symmetry_Int_Tables_number 1
_symmetry_space_group_name_Hall 'P 1'
loop_
_atom_site_label
_atom_site_fract_x
_atom_site_fract_y
_atom_site_fract_z
Cs1 0.000 0.000 0.000
Rb1 0.250 0.250 0.250
Rb2 0.750 0.750 0.750
Si1 0.500 0.500 0.500
F1 0.320 0.320 0.680
F2 0.320 0.680 0.320
F3 0.320 0.680 0.680
F4 0.680 0.320 0.320
F5 0.680 0.320 0.680
F6 0.680 0.680 0.320
# Spin magnetization = 0.0 μB per formula unit
# Space group = Fm-3m
# Uncorrected formation energy = -260.5 kJ/mol of atoms

---

# CsRb2SiF7 (PBE, optimized geometry)
data_CsRb2SiF7
_cell_length_a 8.222
_cell_length_b 8.222
_cell_length_c 5.951
_cell_angle_alpha 90.00
_cell_angle_beta 90.00
_cell_angle_gamma 90.00
_symmetry_space_group_name_H-M 'P 1'
_symmetry_Int_Tables_number 1
_symmetry_space_group_name_Hall 'P 1'
loop_
_atom_site_label
_atom_site_fract_x
_atom_site_fract_y
_atom_site_fract_z
Cs1 0.000 0.000 0.000
Cs2 0.500 0.500 0.000
Rb1 0.196 0.304 0.500
Rb2 0.304 0.804 0.500
Rb3 0.696 0.196 0.500
Rb4 0.804 0.696 0.500
Si1 0.000 0.500 0.000
Si2 0.500 0.000 0.000
F1 0.000 0.000 0.500
F2 0.104 0.604 0.207
F3 0.104 0.604 0.793
F4 0.148 0.352 0.000
F5 0.352 0.852 0.000
F6 0.396 0.104 0.207
F7 0.396 0.104 0.793
F8 0.500 0.500 0.500
F9 0.604 0.896 0.207
F10 0.604 0.896 0.793
F11 0.648 0.148 0.000
F12 0.852 0.648 0.000
F13 0.896 0.396 0.207
F14 0.896 0.396 0.793
# Spin magnetization = 0.0 μB per formula unit
# Space group = P4/mbm
# Uncorrected formation energy = -296.1 kJ/mol of atoms

---

# Cs2RbSiF6 (PBE, optimized geometry)
data_Cs2RbSiF6
_cell_length_a 6.906
_cell_length_b 6.906
_cell_length_c 6.906
_cell_angle_alpha 60.00
_cell_angle_beta 60.00
_cell_angle_gamma 60.00
_symmetry_space_group_name_H-M 'P 1'
_symmetry_Int_Tables_number 1
_symmetry_space_group_name_Hall 'P 1'
loop_
_atom_site_label
_atom_site_fract_x
_atom_site_fract_y
_atom_site_fract_z
Cs1 0.250 0.250 0.250
Cs2 0.750 0.750 0.750
Rb1 0.000 0.000 0.000
Si1 0.500 0.500 0.500
F1 0.322 0.322 0.678
F2 0.322 0.678 0.322
F3 0.322 0.678 0.678
F4 0.678 0.322 0.322
F5 0.678 0.322 0.678
F6 0.678 0.678 0.322
# Spin magnetization = 0.0 μB per formula unit
# Space group = Fm-3m
# Uncorrected formation energy = -262.2 kJ/mol of atoms

---

# Cs2RbSnF8 (PBE, optimized geometry)
data_Cs2RbSnF8
_cell_length_a 6.418
_cell_length_b 6.418
_cell_length_c 7.898
_cell_angle_alpha 90.00
_cell_angle_beta 90.00
_cell_angle_gamma 120.00
_symmetry_space_group_name_H-M 'P 1'
_symmetry_Int_Tables_number 1
_symmetry_space_group_name_Hall 'P 1'
loop_
_atom_site_label
_atom_site_fract_x
_atom_site_fract_y
_atom_site_fract_z
Cs1 0.333 0.667 0.327
Cs2 0.667 0.333 0.673
Rb1 0.000 0.000 0.000
Sn1 0.000 0.000 0.500
F1 0.146 0.292 0.649
F2 0.146 0.854 0.649
F3 0.292 0.146 0.351
F4 0.333 0.667 0.988
F5 0.667 0.333 0.012
F6 0.708 0.854 0.649
F7 0.854 0.146 0.351
F8 0.854 0.708 0.351
# Spin magnetization = 1.0 μB per formula unit
# Space group = P-3m1
# Uncorrected formation energy = -234.4 kJ/mol of atoms

---

# Cs2RbSn2F7 (PBE, optimized geometry)
data_Cs2RbSn2F7
_cell_length_a 4.954
_cell_length_b 4.954
_cell_length_c 12.154
_cell_angle_alpha 99.33
_cell_angle_beta 99.33
_cell_angle_gamma 94.17
_symmetry_space_group_name_H-M 'P 1'
_symmetry_Int_Tables_number 1
_symmetry_space_group_name_Hall 'P 1'
loop_
_atom_site_label
_atom_site_fract_x
_atom_site_fract_y
_atom_site_fract_z
Cs1 0.169 0.169 0.366
Cs2 0.831 0.831 0.634
Rb1 0.000 0.000 0.000
Sn1 0.417 0.417 0.804
Sn2 0.583 0.583 0.196
F1 0.005 0.610 0.180
F2 0.260 0.260 0.611
F3 0.390 0.995 0.820
F4 0.500 0.500 0.000
F5 0.610 0.005 0.180
F6 0.740 0.740 0.389
F7 0.995 0.390 0.820
# Spin magnetization = 0.0 μB per formula unit
# Space group = C2/m
# Uncorrected formation energy = -243.4 kJ/mol of atoms

---

# CsRb2Sn2F7 (PBE, optimized geometry)
data_CsRb2Sn2F7
_cell_length_a 4.979
_cell_length_b 4.979
_cell_length_c 11.914
_cell_angle_alpha 100.13
_cell_angle_beta 100.13
_cell_angle_gamma 96.29
_symmetry_space_group_name_H-M 'P 1'
_symmetry_Int_Tables_number 1
_symmetry_space_group_name_Hall 'P 1'
loop_
_atom_site_label
_atom_site_fract_x
_atom_site_fract_y
_atom_site_fract_z
Cs1 0.000 0.000 0.000
Rb1 0.152 0.152 0.366
Rb2 0.848 0.848 0.634
Sn1 0.423 0.423 0.793
Sn2 0.577 0.577 0.207
F1 0.002 0.614 0.199
F2 0.262 0.262 0.601
F3 0.386 0.998 0.801
F4 0.500 0.500 0.000
F5 0.614 0.002 0.199
F6 0.738 0.738 0.399
F7 0.998 0.386 0.801
# Spin magnetization = 0.0 μB per formula unit
# Space group = C2/m
# Uncorrected formation energy = -243.6 kJ/mol of atoms